A plane-wave DFT calculation with PBE was carried out for a geometry-optimized InTePdO6 structure.

```
InTePdO6
1.0
4.870 0.000 0.000
0.000 4.870 0.000
0.000 0.000 9.543
In Te Pd O
2 2 2 12
direct
0.000 0.000 0.000
0.500 0.500 0.500
0.000 0.000 0.667
0.500 0.500 0.167
0.000 0.000 0.334
0.500 0.500 0.834
0.181 0.181 0.504
0.191 0.191 0.819
0.204 0.204 0.169
0.296 0.704 0.669
0.309 0.691 0.319
0.319 0.681 0.004
0.681 0.319 0.004
0.691 0.309 0.319
0.704 0.296 0.669
0.796 0.796 0.169
0.809 0.809 0.819
0.819 0.819 0.504
```

Results
Size of the total moment   0.00 μB per formula unit
Formation energy from raw total energies   -910.1 meV/atom